This record from Alexandria via LeMat-Bulk describes an optimized crystal structure of TeMo3O. The functional is PBE+U.

abc: 5.631 5.631 5.631
angles: 90.00 90.00 90.00
Atoms (fractional coordinates):
Mo1 0.000 0.500 0.000
Mo2 0.000 0.000 0.500
Mo3 0.500 0.000 0.000
Te1 0.000 0.000 0.000
O1 0.500 0.500 0.500

Results
Volume (Å³/cell): 179
Final energy (eV/cell): -20.50
Energy above the lowest structure with this stoichiometry (meV per atom): 1079.5
D(E_F) (states/eV per cell): 6.28